(1)
Below is HfNiPdRh after structural relaxation, with properties calculated at the PBE level.

Lattice parameters (Å, degrees): 3.8728 3.8331 4.0209 90.00 90.00 90.00
Each line ends with the local moment (μB).
Atoms (fractional coordinates):
Hf1 0.5000 0.0000 0.5000  -0.05
Ni1 0.0000 0.0000 0.0000  0.36
Pd1 0.5000 0.5000 0.0000  0.09
Rh1 0.0000 0.5000 0.5000  0.17

Calculated values
The size of the total moment comes out at 0.53 Bohr magnetons per cell. For the energy relative to the elements, the calculation gives -0.709 eV per atom. Its energy is -7.78 eV/atom. Its crystal system is orthorhombic. The density of states at the Fermi level comes out at 0.94 states/eV per atom.

***

(2)
Below is HfScNiPd after structural relaxation, with properties calculated at the PBE level.

Lattice parameters (Å, degrees): 4.6014 4.6014 4.6014 60.00 60.00 60.00
Atoms (fractional coordinates):
Sc1 0.2500 0.2500 0.2500
Ni1 0.0000 0.0000 0.0000
Hf1 0.7500 0.7500 0.7500
Pd1 0.5000 0.5000 0.5000

Calculated values
The size of the total moment comes out at 0.00 Bohr magnetons per cell. For the energy relative to the elements, the calculation gives -0.587 eV per atom. Its energy is -7.40 eV/atom. Its crystal system is cubic. The density of states at the Fermi level comes out at 0.82 states/eV per atom.

***

(3)
Below is HfTiNiPd after structural relaxation, with properties calculated at the PBE level.

Lattice parameters (Å, degrees): 4.5058 4.5058 4.5058 60.00 60.00 60.00
Atoms (fractional coordinates):
Ni1 0.2500 0.2500 0.2500
Hf1 0.0000 0.0000 0.0000
Pd1 0.7500 0.7500 0.7500
Ti1 0.5000 0.5000 0.5000

Calculated values
The size of the total moment comes out at 0.00 Bohr magnetons per cell. For the energy relative to the elements, the calculation gives -0.425 eV per atom. Its energy is -7.63 eV/atom. Its crystal system is cubic. The density of states at the Fermi level comes out at 1.32 states/eV per atom.

***

(4)
Below is HfTlNiPd2 after structural relaxation, with properties calculated at the PBE level.

Lattice parameters (Å, degrees): 4.6640 4.6635 4.6640 90.00 90.00 90.00
Each line ends with the local moment (μB).
Atoms (fractional coordinates):
Ni1 0.0000 0.0000 0.0000  0.22
Tl1 0.0000 0.5000 0.0000  0.01
Hf1 0.5000 0.5000 0.5000  0.10
Pd1 0.0000 0.0000 0.5000  0.04
Pd2 0.5000 0.0000 0.0000  0.04

Calculated values
The size of the total moment comes out at 0.50 Bohr magnetons per cell. For the energy relative to the elements, the calculation gives 0.574 eV per atom. Its energy is -5.12 eV/atom. Its crystal system is tetragonal. The density of states at the Fermi level comes out at 1.73 states/eV per atom.

***

(5)
Below is TmHfNiPd after structural relaxation, with properties calculated at the PBE level.

Lattice parameters (Å, degrees): 4.7077 4.7077 4.7077 60.00 60.00 60.00
Atoms (fractional coordinates):
Ni1 0.2500 0.2500 0.2500
Tm1 0.5000 0.5000 0.5000
Hf1 0.0000 0.0000 0.0000
Pd1 0.7500 0.7500 0.7500

Calculated values
The size of the total moment comes out at 0.00 Bohr magnetons per cell. For the energy relative to the elements, the calculation gives -0.545 eV per atom. Its energy is -6.89 eV/atom. Its crystal system is cubic. The density of states at the Fermi level comes out at 0.88 states/eV per atom.

***

(6)
Below is HfZrNiPd after structural relaxation, with properties calculated at the PBE level.

Lattice parameters (Å, degrees): 4.6359 4.6359 4.6359 60.00 60.00 60.00
Atoms (fractional coordinates):
Ni1 0.7500 0.7500 0.7500
Hf1 0.0000 0.0000 0.0000
Zr1 0.5000 0.5000 0.5000
Pd1 0.2500 0.2500 0.2500

Calculated values
The size of the total moment comes out at 0.00 Bohr magnetons per cell. For the energy relative to the elements, the calculation gives -0.465 eV per atom. Its energy is -7.83 eV/atom. Its crystal system is cubic. The density of states at the Fermi level comes out at 1.10 states/eV per atom.